CoSnO3 | PBE with a Hubbard U | relaxed

- Symmetry: Pm-3m, No. 221
- Energy: -27.6 eV/f.u.
- DOS at the Fermi energy: 0.350 states/eV/atom

Cell lengths 3.757, 3.757, 3.757 Å; angles 90.00, 90.00, 90.00 degrees
Element x y z (fractional)
Co  0.500  0.500  0.500
Sn  0.000  0.000  0.000
O  0.500  0.500  0.000
O  0.500  0.000  0.500
O  0.000  0.500  0.500